1.
The following is a DFT calculation (GGA-PBE) of a relaxed structure of Y2UPbS8.

Cell lengths 5.6006, 6.7348, 8.3216 Å; angles 90.02, 90.12, 91.10 degrees
Fractional positions:
Y  0.0009  0.0000  0.2683
Y  0.9991  0.0000  0.7317
U  0.5000  0.5000  0.5000
Pb  0.5000  0.5000  0.0000
S  0.2437  0.3551  0.2758
S  0.2449  0.3539  0.7233
S  0.2560  0.8317  0.5007
S  0.3303  0.9287  0.9999
S  0.6697  0.0713  0.0001
S  0.7440  0.1683  0.4993
S  0.7551  0.6461  0.2767
S  0.7563  0.6449  0.7242

Summary:
Total magnetization ... 0.0 μB/f.u.
Calculated volume ... 313.8 Å³/f.u.
Formation energy (no corrections) ... -1.18 eV per atom

2.
The following is a DFT calculation (GGA-PBE) of a relaxed structure of UZnPb2S5.

Cell lengths 8.9092, 8.9092, 12.6800 Å; angles 90.00, 90.00, 154.06 degrees
Fractional positions:
U  0.2048  0.7952  0.5000
U  0.7952  0.2048  0.0000
Zn  0.4423  0.5577  0.9122
Zn  0.5577  0.4423  0.4122
Pb  0.1048  0.8952  0.1364
Pb  0.1174  0.8826  0.7881
Pb  0.8826  0.1174  0.2881
Pb  0.8952  0.1048  0.6364
S  0.0487  0.9513  0.5149
S  0.2855  0.7145  0.1414
S  0.3074  0.6926  0.8588
S  0.3588  0.6412  0.4803
S  0.4972  0.5028  0.2514
S  0.5028  0.4972  0.7514
S  0.6412  0.3588  0.9803
S  0.6926  0.3074  0.3588
S  0.7145  0.2855  0.6414
S  0.9513  0.0487  0.0149

Summary:
Total magnetization ... 2.0 μB/f.u.
Calculated volume ... 220.1 Å³/f.u.
Formation energy (no corrections) ... -0.84 eV per atom

3.
The following is a DFT calculation (GGA-PBE) of a relaxed structure of ZrUPbS6.

Cell lengths 6.6529, 6.6529, 12.5032 Å; angles 90.00, 90.00, 120.00 degrees
Fractional positions:
Zr  0.3333  0.6667  0.2500
Zr  0.6667  0.3333  0.7500
U  0.3333  0.6667  0.7500
U  0.6667  0.3333  0.2500
Pb  0.0000  0.0000  0.0000
Pb  0.0000  0.0000  0.5000
S  0.0017  0.3714  0.6330
S  0.0017  0.6303  0.8670
S  0.3697  0.3714  0.8670
S  0.3697  0.9983  0.6330
S  0.3714  0.0017  0.1330
S  0.3714  0.3697  0.3670
S  0.6286  0.6303  0.6330
S  0.6286  0.9983  0.8670
S  0.6303  0.0017  0.3670
S  0.6303  0.6286  0.1330
S  0.9983  0.3697  0.1330
S  0.9983  0.6286  0.3670

Summary:
Total magnetization ... 0.1 μB/f.u.
Calculated volume ... 239.6 Å³/f.u.
Formation energy (no corrections) ... -1.10 eV per atom

4.
The following is a DFT calculation (GGA-PBE) of a relaxed structure of V2PbS.

Cell lengths 4.5185, 4.5185, 4.5185 Å; angles 60.00, 60.00, 60.00 degrees
Fractional positions:
V  0.2500  0.2500  0.2500
V  0.7500  0.7500  0.7500
Pb  0.0000  0.0000  0.0000
S  0.5000  0.5000  0.5000

Summary:
Total magnetization ... 0.0 μB/f.u.
Calculated volume ... 65.2 Å³/f.u.
Formation energy (no corrections) ... 0.39 eV per atom

5.
The following is a DFT calculation (GGA-PBE) of a relaxed structure of VPb2S5.

Cell lengths 5.9643, 7.0238, 7.1364 Å; angles 60.67, 65.78, 65.73 degrees
Fractional positions:
V  0.0000  0.0000  0.0000
Pb  0.2284  0.1748  0.2766
Pb  0.6975  0.6945  0.7307
S  0.1543  0.8236  0.7816
S  0.1592  0.2874  0.8402
S  0.1728  0.7867  0.2894
S  0.6319  0.2731  0.8950
S  0.6748  0.8221  0.2996

Summary:
Total magnetization ... 0.0 μB/f.u.
Calculated volume ... 229.2 Å³/f.u.
Formation energy (no corrections) ... -0.39 eV per atom

6.
The following is a DFT calculation (GGA-PBE) of a relaxed structure of VPbS.

Cell lengths 6.2394, 5.6479, 8.1175 Å; angles 90.00, 120.48, 90.00 degrees
Fractional positions:
V  0.1403  0.1198  0.1750
V  0.1403  0.3802  0.6750
V  0.8597  0.6198  0.3250
V  0.8597  0.8802  0.8250
Pb  0.3171  0.6021  0.0958
Pb  0.3171  0.8979  0.5958
Pb  0.6829  0.1021  0.4042
Pb  0.6829  0.3979  0.9042
S  0.1882  0.1234  0.9127
S  0.1882  0.3766  0.4127
S  0.8118  0.6234  0.5873
S  0.8118  0.8766  0.0873

Summary:
Total magnetization ... 0.0 μB/f.u.
Calculated volume ... 61.6 Å³/f.u.
Formation energy (no corrections) ... -0.18 eV per atom

7.
The following is a DFT calculation (GGA-PBE) of a relaxed structure of VPb3S6.

Cell lengths 6.7116, 7.1658, 11.7843 Å; angles 90.00, 123.99, 90.00 degrees
Fractional positions:
V  0.0000  0.0000  0.0000
V  0.0000  0.5000  0.5000
Pb  0.2831  0.0783  0.7530
Pb  0.2831  0.4217  0.2530
Pb  0.5000  0.0000  0.5000
Pb  0.5000  0.5000  0.0000
Pb  0.7169  0.5783  0.7470
Pb  0.7169  0.9217  0.2470
S  0.0930  0.0454  0.2244
S  0.0930  0.4546  0.7244
S  0.2211  0.7187  0.0670
S  0.2211  0.7813  0.5670
S  0.3455  0.1662  0.0579
S  0.3455  0.3338  0.5579
S  0.6545  0.6662  0.4421
S  0.6545  0.8338  0.9421
S  0.7789  0.2187  0.4330
S  0.7789  0.2813  0.9330
S  0.9070  0.5454  0.2756
S  0.9070  0.9546  0.7756

Summary:
Total magnetization ... 0.0 μB/f.u.
Calculated volume ... 235.0 Å³/f.u.
Formation energy (no corrections) ... -0.40 eV per atom

8.
The following is a DFT calculation (GGA-PBE) of a relaxed structure of VPb2S4.

Cell lengths 8.3822, 8.3822, 8.3822 Å; angles 148.74, 148.74, 44.80 degrees
Fractional positions:
V  0.0000  0.0000  0.0000
Pb  0.3482  0.3482  0.0000
Pb  0.6518  0.6518  0.0000
S  0.0000  0.5000  0.5000
S  0.1645  0.1645  0.0000
S  0.5000  0.0000  0.5000
S  0.8355  0.8355  0.0000

Summary:
Total magnetization ... 1.0 μB/f.u.
Calculated volume ... 158.1 Å³/f.u.
Formation energy (no corrections) ... -0.49 eV per atom

9.
The following is a DFT calculation (GGA-PBE) of a relaxed structure of V3Pb5S12.

Cell lengths 13.5841, 13.5841, 13.5841 Å; angles 109.47, 109.47, 109.47 degrees
Fractional positions:
V  0.1250  0.2500  0.3750
V  0.1250  0.3750  0.7500
V  0.2500  0.3750  0.1250
V  0.2500  0.8750  0.6250
V  0.3750  0.1250  0.2500
V  0.3750  0.7500  0.1250
V  0.6250  0.2500  0.8750
V  0.6250  0.8750  0.7500
V  0.7500  0.1250  0.3750
V  0.7500  0.6250  0.8750
V  0.8750  0.6250  0.2500
V  0.8750  0.7500  0.6250
Pb  0.0000  0.0000  0.0000
Pb  0.0000  0.0000  0.5000
Pb  0.0000  0.5000  0.0000
Pb  0.0000  0.5000  0.5000
Pb  0.1250  0.7500  0.8750
Pb  0.1250  0.8750  0.2500
Pb  0.2500  0.1250  0.8750
Pb  0.2500  0.6250  0.3750
Pb  0.3750  0.2500  0.6250
Pb  0.3750  0.6250  0.7500
Pb  0.5000  0.0000  0.0000
Pb  0.5000  0.0000  0.5000
Pb  0.5000  0.5000  0.0000
Pb  0.5000  0.5000  0.5000
Pb  0.6250  0.3750  0.2500
Pb  0.6250  0.7500  0.3750
Pb  0.7500  0.3750  0.6250
Pb  0.7500  0.8750  0.1250
Pb  0.8750  0.1250  0.7500
Pb  0.8750  0.2500  0.1250
S  0.0565  0.6352  0.3879
S  0.0565  0.9214  0.6686
S  0.0786  0.2472  0.1352
S  0.0786  0.3314  0.9435
S  0.1121  0.7472  0.6686
S  0.1121  0.8648  0.4435
S  0.1352  0.0786  0.2472
S  0.1352  0.5565  0.8879
S  0.1686  0.2472  0.6121
S  0.1686  0.4214  0.5565
S  0.2472  0.1352  0.0786
S  0.2472  0.6121  0.1686
S  0.2528  0.3314  0.8879
S  0.2528  0.4214  0.3648
S  0.3314  0.8879  0.2528
S  0.3314  0.9435  0.0786
S  0.3648  0.2528  0.4214
S  0.3648  0.6121  0.9435
S  0.3879  0.0565  0.6352
S  0.3879  0.8314  0.7528
S  0.4214  0.3648  0.2528
S  0.4214  0.5565  0.1686
S  0.4435  0.1121  0.8648
S  0.4435  0.8314  0.5786
S  0.5565  0.1686  0.4214
S  0.5565  0.8879  0.1352
S  0.5786  0.4435  0.8314
S  0.5786  0.6352  0.7472
S  0.6121  0.1686  0.2472
S  0.6121  0.9435  0.3648
S  0.6352  0.3879  0.0565
S  0.6352  0.7472  0.5786
S  0.6686  0.0565  0.9214
S  0.6686  0.1121  0.7472
S  0.7472  0.5786  0.6352
S  0.7472  0.6686  0.1121
S  0.7528  0.3879  0.8314
S  0.7528  0.8648  0.9214
S  0.8314  0.5786  0.4435
S  0.8314  0.7528  0.3879
S  0.8648  0.4435  0.1121
S  0.8648  0.9214  0.7528
S  0.8879  0.1352  0.5565
S  0.8879  0.2528  0.3314
S  0.9214  0.6686  0.0565
S  0.9214  0.7528  0.8648
S  0.9435  0.0786  0.3314
S  0.9435  0.3648  0.6121

Summary:
Total magnetization ... 4.3 μB/f.u.
Calculated volume ... 482.4 Å³/f.u.
Formation energy (no corrections) ... -0.06 eV per atom

10.
The following is a DFT calculation (GGA-PBE) of a relaxed structure of VPbWS2.

Cell lengths 4.4167, 4.4167, 5.6637 Å; angles 90.00, 90.00, 90.00 degrees
Fractional positions:
V  0.0000  0.0000  0.0000
Pb  0.0000  0.0000  0.5000
W  0.5000  0.5000  0.5000
S  0.0000  0.5000  0.0000
S  0.5000  0.0000  0.0000

Summary:
Total magnetization ... 3.5 μB/f.u.
Calculated volume ... 110.5 Å³/f.u.
Formation energy (no corrections) ... 0.96 eV per atom

11.
The following is a DFT calculation (GGA-PBE) of a relaxed structure of YV2PbS.

Cell lengths 5.0972, 5.0972, 5.8757 Å; angles 90.00, 90.00, 90.00 degrees
Fractional positions:
Y  0.0000  0.0000  0.0000
V  0.0000  0.5000  0.5000
V  0.5000  0.0000  0.5000
Pb  0.0000  0.0000  0.5000
S  0.5000  0.5000  0.0000

Summary:
Total magnetization ... 7.0 μB/f.u.
Calculated volume ... 152.7 Å³/f.u.
Formation energy (no corrections) ... 1.05 eV per atom

12.
The following is a DFT calculation (GGA-PBE) of a relaxed structure of PbWS3.

Cell lengths 4.7500, 4.7500, 4.7500 Å; angles 90.00, 90.00, 90.00 degrees
Fractional positions:
Pb  0.0000  0.0000  0.0000
W  0.5000  0.5000  0.5000
S  0.0000  0.5000  0.5000
S  0.5000  0.0000  0.5000
S  0.5000  0.5000  0.0000

Summary:
Energy above the most stable polymorph in this dataset ... 0.000 eV per atom
Total magnetization ... 0.0 μB/f.u.
Calculated volume ... 107.2 Å³/f.u.
Formation energy (no corrections) ... -0.16 eV per atom